Entry 1:
Entry from the Alexandria database: an optimized crystal structure of SrMg3Cd3 (PBE).

Total DFT energy (no corrections), eV/atom: -1.44

Lattice parameters (Å, degrees): 5.265 8.804 8.804 120.00 90.00 90.00
Sites, in units of the cell vectors:
Mg  0.250  0.001  0.781
Mg  0.750  0.220  0.001
Mg  0.750  0.781  0.780
Mg  0.250  0.780  0.999
Mg  0.250  0.219  0.220
Mg  0.750  0.999  0.219
Cd  0.750  0.084  0.620
Cd  0.250  0.464  0.084
Cd  0.750  0.536  0.916
Cd  0.250  0.620  0.536
Cd  0.750  0.380  0.464
Cd  0.250  0.916  0.380
Sr  0.250  0.333  0.667
Sr  0.750  0.667  0.333

---

Entry 2:
Entry from the Alexandria database: an optimized crystal structure of MnV3Cr (PBE).

Total DFT energy (no corrections), eV/atom: -9.40

Lattice parameters (Å, degrees): 4.118 4.105 7.587 90.00 74.25 90.00
Sites, in units of the cell vectors:
Mn  0.974  0.250  0.700
Mn  0.674  0.750  0.300
V  0.074  0.750  0.499
V  0.574  0.250  0.501
V  0.378  0.250  0.892
V  0.770  0.250  0.109
V  0.270  0.750  0.108
V  0.879  0.750  0.891
Cr  0.475  0.750  0.699
Cr  0.174  0.250  0.301

---

Entry 3:
Entry from the Alexandria database: an optimized crystal structure of Cu2Te2PbCl2O6 (PBE).

Formation energy without anion corrections, kcal/mol of atoms: -20.8
Total DFT energy (no corrections), eV/atom: -4.87

Lattice parameters (Å, degrees): 7.348 7.398 8.429 90.00 96.49 90.00
Each line ends with the local moment (μB).
Sites, in units of the cell vectors:
Cl  0.098  0.347  0.772  0.00
Cl  0.544  0.321  0.615  0.10
Cl  0.902  0.847  0.228  0.00
Cl  0.456  0.821  0.385  0.10
O  0.870  0.420  0.375  0.08
O  0.537  0.651  0.937  0.11
O  0.130  0.920  0.625  0.08
O  0.463  0.151  0.063  0.11
O  0.460  0.968  0.758  0.13
O  0.205  0.755  0.944  0.11
O  0.812  0.706  0.608  0.09
O  0.145  0.472  0.162  0.08
O  0.188  0.206  0.392  0.09
O  0.855  0.972  0.838  0.08
O  0.795  0.255  0.056  0.11
O  0.540  0.468  0.242  0.13
Cu  0.637  0.090  0.911  0.58
Cu  0.683  0.608  0.412  0.58
Cu  0.363  0.590  0.089  0.58
Cu  0.317  0.108  0.588  0.58
Te  0.871  0.956  0.613  0.00
Te  0.648  0.230  0.232  0.01
Te  0.352  0.730  0.768  0.01
Te  0.129  0.456  0.387  0.00
Pb  0.877  0.607  0.944  0.01
Pb  0.123  0.107  0.056  0.01